Crystalline Nd3CoNi at its relaxed geometry. Source: Alexandria, functional PBE.

Output
ΔE to the lowest computed polymorph	0.0	kJ/mol of atoms
DFT total energy	-5.573	eV per atom
space group	No. 12

a = 6.2130 Å, b = 6.2130 Å, c = 7.7403 Å
α = 108.19°, β = 108.19°, γ = 62.26°
With the nearest neighbours (Å) after each atom.
Sites, in units of the cell vectors:
Nd  0.0015  0.0015  0.2443  2 Co 2.79, 2 Ni 2.81
Nd  0.3110  0.3110  0.1544  2 Co 2.93, 2 Ni 2.96
Nd  0.3108  0.3108  0.6561  2 Co 2.93, 2 Ni 2.96
Nd  0.6892  0.6892  0.3439  2 Co 2.93, 2 Ni 2.96
Nd  0.6890  0.6890  0.8456  2 Co 2.93, 2 Ni 2.96
Nd  0.9985  0.9985  0.7557  2 Co 2.79, 2 Ni 2.81
Co  0.3193  0.6807  0.0000  1 Co 2.32
Co  0.6807  0.3193  0.0000  1 Co 2.32
Ni  0.3104  0.6896  0.5000  1 Ni 2.44
Ni  0.6896  0.3104  0.5000  1 Ni 2.44